Entry from Alexandria via LeMat-Bulk: a relaxed structure of Li8Ca3Mg3 (PBE-GGA).

Cell: 9.1899 9.1899 9.1899 Å, 149.51 113.10 75.28°
Positions (direct):
Li 0.0362 0.1782 0.8581
Li 0.1452 0.3694 0.7758
Li 0.3201 0.1782 0.1419
Li 0.4064 0.6306 0.7758
Li 0.5936 0.3694 0.2242
Li 0.6799 0.8218 0.8581
Li 0.8548 0.6306 0.2242
Li 0.9638 0.8218 0.1419
Ca 0.0000 0.5000 0.5000
Ca 0.3117 0.8117 0.5000
Ca 0.6883 0.1883 0.5000
Mg 0.2856 0.0000 0.2856
Mg 0.5000 0.5000 0.0000
Mg 0.7144 0.0000 0.7144

## Properties
Energy of formation ... 3.2 meV per atom